Record 1
A plane-wave DFT calculation with PBE-GGA was carried out for crystalline SrAlZn2 at its relaxed geometry.

energy relative to the elements	-0.13	eV/f.u.
final energy	-16.21	eV/cell
magnetic moment	0.0	μB per formula unit

Cell: 5.524 9.042 3.973 Å, 90.00 90.00 90.00°
Space group Cmmm (No. 65)
Asymmetric unit:
Sr 0.000 0.000 0.000 (multiplicity 2)
Al 0.000 0.500 0.500 (multiplicity 2)
Zn 0.250 0.250 0.500 (multiplicity 4)


Record 2
A plane-wave DFT calculation with PBE-GGA was carried out for crystalline LaTaW2 at its relaxed geometry.

energy above the most stable polymorph in this dataset	127	meV per atom
energy relative to the elements	2.03	eV/f.u.
final energy	-40.66	eV/cell
magnetic moment	0.0	μB per formula unit

Cell: 3.282 3.282 7.678 Å, 90.00 90.00 90.00°
Space group P4/mmm (No. 123)
Asymmetric unit:
La 0.000 0.000 0.000 (multiplicity 1)
Ta 0.000 0.000 0.500 (multiplicity 1)
W 0.500 0.500 0.307 (multiplicity 2)